(1)
LiTiBeRh | GGA-PBE | relaxed

abc: 4.176 4.176 4.176
angles: 60.00 60.00 60.00
Positions (direct):
Li (0.000, 0.000, 0.000)
Ti (0.250, 0.250, 0.250)
Be (0.750, 0.750, 0.750)
Rh (0.500, 0.500, 0.500)

Values from the calculation:
**Formation energy**: -0.296 eV per atom
**SG**: F-43m, No. 216

(2)
PH2Pt | GGA-PBE | relaxed

abc: 3.749 3.749 3.749
angles: 60.00 60.00 60.00
Positions (direct):
P (0.000, 0.000, 0.000)
H (0.250, 0.250, 0.250)
H (0.750, 0.750, 0.750)
Pt (0.500, 0.500, 0.500)

Values from the calculation:
**SG**: Fm-3m, No. 225

(3)
Ac2CdSnHg6 | GGA-PBE | relaxed

abc: 7.711 7.711 7.711
angles: 60.00 60.00 60.00
Positions (direct):
Ac (0.250, 0.250, 0.250)
Ac (0.750, 0.750, 0.750)
Cd (0.000, 0.000, 0.000)
Sn (0.500, 0.500, 0.500)
Hg (0.248, 0.248, 0.752)
Hg (0.248, 0.752, 0.248)
Hg (0.248, 0.752, 0.752)
Hg (0.752, 0.248, 0.248)
Hg (0.752, 0.248, 0.752)
Hg (0.752, 0.752, 0.248)

Values from the calculation:
**Formation energy**: 0.029 eV per atom
**SG**: Fm-3m, No. 225

(4)
Dy2Tm12Sc | GGA-PBE | relaxed

abc: 6.424 6.424 24.165
angles: 90.44 90.44 113.71
Positions (direct):
Dy (0.112, 0.112, 0.277)
Dy (0.388, 0.388, 0.723)
Dy (0.612, 0.612, 0.277)
Dy (0.888, 0.888, 0.723)
Tm (0.107, 0.107, 0.128)
Tm (0.109, 0.609, 0.199)
Tm (0.115, 0.615, 0.332)
Tm (0.128, 0.628, 0.554)
Tm (0.129, 0.129, 0.575)
Tm (0.138, 0.639, 0.061)
Tm (0.361, 0.862, 0.939)
Tm (0.371, 0.371, 0.425)
Tm (0.372, 0.872, 0.446)
Tm (0.385, 0.885, 0.668)
Tm (0.391, 0.891, 0.801)
Tm (0.393, 0.393, 0.872)
Tm (0.607, 0.607, 0.128)
Tm (0.609, 0.109, 0.199)
Tm (0.615, 0.115, 0.332)
Tm (0.628, 0.128, 0.554)
Tm (0.629, 0.629, 0.575)
Tm (0.639, 0.138, 0.061)
Tm (0.862, 0.361, 0.939)
Tm (0.871, 0.871, 0.425)
Tm (0.872, 0.372, 0.446)
Tm (0.885, 0.385, 0.668)
Tm (0.891, 0.391, 0.801)
Tm (0.893, 0.893, 0.872)
Sc (0.250, 0.250, 0.000)
Sc (0.750, 0.750, 0.000)

Values from the calculation:
**Formation energy**: 0.134 eV per atom
**SG**: C2/m, No. 12

(5)
Li7Th3Ir4 | GGA-PBE | relaxed

abc: 8.126 8.126 10.260
angles: 124.01 124.01 28.43
Positions (direct):
Li (0.000, 0.000, 0.000)
Li (0.171, 0.171, 0.933)
Li (0.338, 0.338, 0.509)
Li (0.480, 0.480, 0.190)
Li (0.520, 0.520, 0.810)
Li (0.662, 0.662, 0.491)
Li (0.829, 0.829, 0.067)
Th (0.000, 0.000, 0.500)
Th (0.289, 0.289, 0.746)
Th (0.711, 0.711, 0.254)
Ir (0.111, 0.111, 0.310)
Ir (0.347, 0.347, 0.267)
Ir (0.653, 0.653, 0.733)
Ir (0.889, 0.889, 0.690)

Values from the calculation:
**Formation energy**: -0.408 eV per atom
**SG**: C2/m, No. 12

(6)
YMnBr6 | GGA-PBE | relaxed

abc: 6.766 6.771 7.274
angles: 90.03 117.67 119.90
Positions (direct):
Y (0.000, 0.000, 0.000)
Mn (0.000, 0.500, 0.500)
Br (0.152, 0.419, 0.261)
Br (0.159, 0.267, 0.739)
Br (0.473, 0.892, 0.740)
Br (0.527, 0.108, 0.260)
Br (0.841, 0.733, 0.261)
Br (0.848, 0.581, 0.739)

Values from the calculation:
**ΔE_f (raw)**: -9.19 eV per formula unit
**SG**: P-1, No. 2

Ordered raw total energy results: -22.07, -15.04, -14.66, -67.18, -76.82, -34.86; unit eV/f.u..
Ordered Fermi-level density of states results: 4.66, 1.20, 9.55, 25.15, 5.39, 5.72; unit states/eV/f.u..